# 1
Computed, not measured: a geometry-optimized GaSiH2 structure at the GGA-PBE level of DFT.

space-group type = No. 1
final energy = -0.2509 Ry/atom
spin magnetization = 0.00 μB/atom
DOS(E_F) = 0.07 states/eV/atom
mass density = 3.2 g/cm³

Cell: 2.642 3.374 6.253 Å, 75.39 87.03 75.69°
Atoms (fractional coordinates):
Ga 0.000 0.000 0.000
Si 0.509 0.358 0.301
H 0.516 0.242 0.551
H 0.999 0.556 0.882

# 2
Computed, not measured: a geometry-optimized RbAc3Pr2Te6 structure at the GGA-PBE level of DFT.

space-group type = No. 12
spin magnetization = 0.00 μB/atom
DOS(E_F) = 0.39 states/eV/atom
mass density = 6.8 g/cm³
formation energy (no corrections) = -1432 meV per atom

Cell: 10.529 10.529 9.509 Å, 102.47 102.47 25.71°
Atoms (fractional coordinates):
Rb 0.000 0.000 0.000
Ac 0.000 0.000 0.500
Ac 0.338 0.338 0.172
Ac 0.662 0.662 0.828
Pr 0.328 0.328 0.650
Pr 0.672 0.672 0.350
Te 0.167 0.167 0.581
Te 0.173 0.173 0.096
Te 0.493 0.493 0.737
Te 0.507 0.507 0.263
Te 0.827 0.827 0.904
Te 0.833 0.833 0.419

# 3
Computed, not measured: a geometry-optimized TbPmY2Tm2 structure at the GGA-PBE level of DFT.

space-group type = No. 58
spin magnetization = 0.00 μB/atom
ΔE_f = 26.2 kJ/mol of atoms
DOS(E_F) = 1.62 states/eV/atom
mass density = 6.9 g/cm³

Cell: 6.495 17.817 3.402 Å, 90.00 90.00 90.00°
Atoms (fractional coordinates):
Tb 0.000 0.000 0.000
Tb 0.500 0.500 0.500
Pm 0.000 0.500 0.000
Pm 0.500 0.000 0.500
Y 0.222 0.312 0.000
Y 0.278 0.812 0.500
Y 0.722 0.188 0.500
Y 0.778 0.688 0.000
Tm 0.220 0.147 0.500
Tm 0.280 0.647 0.000
Tm 0.720 0.353 0.000
Tm 0.780 0.853 0.500

# 4
Computed, not measured: a geometry-optimized RbAlSbTe2 structure at the GGA-PBE level of DFT.

space-group type = No. 123
spin magnetization = 0.00 μB/atom
DOS(E_F) = 0.90 states/eV/atom
mass density = 4.8 g/cm³
formation energy (no corrections) = -133 meV per atom

Cell: 5.674 5.674 5.305 Å, 90.00 90.00 90.00°
Atoms (fractional coordinates):
Rb 0.000 0.000 0.000
Al 0.500 0.500 0.500
Sb 0.500 0.500 0.000
Te 0.000 0.500 0.500
Te 0.500 0.000 0.500

# 5
Computed, not measured: a geometry-optimized SiPbCl2 structure at the GGA-PBE level of DFT.

space-group type = No. 47
spin magnetization = 0.00 μB/atom
DOS(E_F) = 0.72 states/eV/atom
mass density = 5.4 g/cm³
formation energy (no corrections) = 43 meV per atom

Cell: 3.334 4.405 6.426 Å, 90.00 90.00 90.00°
Atoms (fractional coordinates):
Si 0.000 0.000 0.000
Pb 0.000 0.000 0.500
Cl 0.500 0.500 0.246
Cl 0.500 0.500 0.754

# 6
Computed, not measured: a geometry-optimized TiMnI6 structure at the GGA-PBE level of DFT.

space-group type = No. 148
spin magnetization = 0.62 μB/atom
mass density = 5.1 g/cm³
formation energy (no corrections) = -520 meV per atom

Cell: 7.602 7.602 7.602 Å, 56.00 56.00 56.00°
Atoms (fractional coordinates):
Ti 0.000 0.000 0.000
Mn 0.500 0.500 0.500
I 0.091 0.758 0.397
I 0.242 0.603 0.909
I 0.397 0.091 0.758
I 0.603 0.909 0.242
I 0.758 0.397 0.091
I 0.909 0.242 0.603

# 7
Computed, not measured: a geometry-optimized AcLa4Zn structure at the GGA-PBE level of DFT.

space-group type = No. 123
spin magnetization = 0.00 μB/atom
ΔE_f = -9.3 kJ/mol of atoms
DOS(E_F) = 1.41 states/eV/atom
mass density = 6.8 g/cm³

Cell: 3.809 3.809 14.355 Å, 90.00 90.00 90.00°
Atoms (fractional coordinates):
Ac 0.000 0.000 0.000
La 0.000 0.000 0.373
La 0.000 0.000 0.627
La 0.500 0.500 0.192
La 0.500 0.500 0.808
Zn 0.500 0.500 0.500

# 8
Computed, not measured: a geometry-optimized SrYSi2 structure at the GGA-PBE level of DFT.

space-group type = No. 123
spin magnetization = 0.00 μB/atom
DOS(E_F) = 0.48 states/eV/atom
mass density = 4.1 g/cm³
formation energy (no corrections) = -321 meV per atom

Cell: 3.359 3.359 8.435 Å, 90.00 90.00 90.00°
Atoms (fractional coordinates):
Sr 0.000 0.000 0.000
Y 0.000 0.000 0.500
Si 0.500 0.500 0.267
Si 0.500 0.500 0.733